Entry 1:
Material: Pr3Tl2Cd
Method: DFT, PBE
State: optimized geometry

For the polymorph energy (0 for the lowest one), the calculation gives 3 meV per atom. As for the total magnetization: 0.01 Bohr magnetons per cell. The calculation puts the formation energy at -367 meV/atom.

It has space group P4/mmm (No. 123), with a = 3.856 Å, b = 3.856 Å, c = 12.149 Å, α = 90.00°, β = 90.00° and γ = 90.00°. The distinct sites, in fractional coordinates, are Pr at (0.000, 0.000, 0.000), Pr at (0.000, 0.000, 0.340), Tl at (0.500, 0.500, 0.173) and Cd at (0.500, 0.500, 0.500).

***

Entry 2:
Material: HgBPdF6
Method: DFT, PBE
State: optimized geometry

The formation energy from raw total energies comes out at -1.851 eV per atom. As for the total magnetization: 1.00 Bohr magnetons per cell.

It has space group P1 (No. 1), with a = 4.856 Å, b = 5.459 Å, c = 6.268 Å, α = 64.93°, β = 87.26° and γ = 84.30°. The distinct sites, in fractional coordinates, are Hg at (0.000, 0.000, 0.000), B at (0.455, 0.874, 0.504), Pd at (0.645, 0.401, 0.996), F at (0.257, 0.854, 0.680), F at (0.360, 0.783, 0.344), F at (0.389, 0.224, 0.869), F at (0.522, 0.150, 0.382), F at (0.704, 0.713, 0.614) and F at (0.931, 0.568, 0.113).

***

Entry 3:
Material: Tm3ScTl3Te8
Method: DFT, PBE
State: optimized geometry

The formation energy from raw total energies comes out at -1.006 eV per atom. As for the total magnetization: 0.00 Bohr magnetons per cell.

It has space group C2/m (No. 12), with a = 14.969 Å, b = 8.622 Å, c = 9.617 Å, α = 90.00°, β = 121.30° and γ = 90.00°. The distinct sites, in fractional coordinates, are Tm at (0.000, 0.000, 0.000), Tm at (0.250, 0.250, 0.000), Sc at (0.000, 0.500, 0.000), Tl at (0.000, 0.500, 0.500), Tl at (0.250, 0.250, 0.500), Te at (0.012, 0.256, 0.792), Te at (0.232, 0.500, 0.208) and Te at (0.238, 0.000, 0.213).

***

Entry 4:
Material: AcLuInPd
Method: DFT, PBE
State: optimized geometry

As for the total magnetization: 0.00 Bohr magnetons per cell. The calculation puts the formation energy at -477 meV/atom.

It has space group F-43m (No. 216), with a = 7.582 Å, b = 7.582 Å, c = 7.582 Å, α = 90.00°, β = 90.00° and γ = 90.00°. The distinct sites, in fractional coordinates, are Ac at (0.000, 0.000, 0.000), Lu at (0.000, 0.000, 0.500), In at (0.250, 0.250, 0.750) and Pd at (0.250, 0.250, 0.250).

***

Look up the total magnetization of the fourth one. 0.00 Bohr magnetons per cell